(1)
# GGA-PBE NdThN, relaxed
data_NdThN
_chemical_formula_sum 'Nd16 Th16 N16'
_space_group_name_H-M_alt 'F d d d'
_space_group_IT_number 70
_cell_length_a 9.2362
_cell_length_b 9.6168
_cell_length_c 12.2771
_cell_angle_alpha 90.00
_cell_angle_beta 90.00
_cell_angle_gamma 90.00
loop_
_space_group_symop_operation_xyz
'x,y,z'
'-x,-y,-z'
'-x+1/4,-y+1/4,z'
'x+1/4,y+1/4,-z'
'x,-y+1/4,-z+1/4'
'-x,y+1/4,z+1/4'
'-x+1/4,y,-z+1/4'
'x+1/4,-y,z+1/4'
'x,y+1/2,z+1/2'
'-x,-y+1/2,-z+1/2'
'-x+1/4,-y+3/4,z+1/2'
'x+1/4,y+3/4,-z+1/2'
'x,-y+3/4,-z+3/4'
'-x,y+3/4,z+3/4'
'-x+1/4,y+1/2,-z+3/4'
'x+1/4,-y+1/2,z+3/4'
'x+1/2,y,z+1/2'
'-x+1/2,-y,-z+1/2'
'-x+3/4,-y+1/4,z+1/2'
'x+3/4,y+1/4,-z+1/2'
'x+1/2,-y+1/4,-z+3/4'
'-x+1/2,y+1/4,z+3/4'
'-x+3/4,y,-z+3/4'
'x+3/4,-y,z+3/4'
'x+1/2,y+1/2,z'
'-x+1/2,-y+1/2,-z'
'-x+3/4,-y+3/4,z'
'x+3/4,y+3/4,-z'
'x+1/2,-y+3/4,-z+1/4'
'-x+1/2,y+3/4,z+1/4'
'-x+3/4,y+1/2,-z+1/4'
'x+3/4,-y+1/2,z+1/4'
loop_
_atom_site_label
_atom_site_type_symbol
_atom_site_fract_x
_atom_site_fract_y
_atom_site_fract_z
Nd1 Nd 0.0000 0.0000 0.0000
Th1 Th 0.1250 0.1250 0.4885
N1 N 0.1250 0.3054 0.6250
# - raw total energy (eV/atom) = -7.399
# - DOS(E_F) (states/eV/atom) = 0.93
# - ρ (g cm⁻³) = 9.51
# - E_form (uncorrected) (eV per atom) = -0.561

=====

(2)
# GGA-PBE Nd5ThN6, relaxed
data_Nd5ThN6
_chemical_formula_sum 'Nd10 Th2 N12'
_space_group_name_H-M_alt 'C 1 2/m 1'
_space_group_IT_number 12
_space_group_name_Hall '-C 2y'
_cell_length_a 6.3308
_cell_length_b 10.9602
_cell_length_c 6.3315
_cell_angle_alpha 90.00
_cell_angle_beta 109.47
_cell_angle_gamma 90.00
loop_
_atom_site_label
_atom_site_type_symbol
_atom_site_fract_x
_atom_site_fract_y
_atom_site_fract_z
Nd1 Nd 0.0000 0.0000 0.0000
Nd2 Nd 0.0000 0.1664 0.5000
Nd3 Nd 0.0000 0.3325 0.0000
Th1 Th 0.0000 0.5000 0.5000
N1 N 0.2423 0.5000 0.2556
N2 N 0.2437 0.3380 0.7452
# - raw total energy (eV/atom) = -8.213
# - DOS(E_F) (states/eV/atom) = 0.16
# - ρ (g cm⁻³) = 8.32
# - E_form (uncorrected) (eV per atom) = -1.445

=====

(3)
# GGA-PBE NdThTiN3, relaxed
data_NdThTiN3
_chemical_formula_sum 'Nd2 Th2 Ti2 N6'
_space_group_name_H-M_alt 'P 1 21/m 1'
_space_group_IT_number 11
_space_group_name_Hall '-P 2yb'
_cell_length_a 7.3734
_cell_length_b 3.6377
_cell_length_c 7.9286
_cell_angle_alpha 90.00
_cell_angle_beta 95.47
_cell_angle_gamma 90.00
loop_
_atom_site_label
_atom_site_type_symbol
_atom_site_fract_x
_atom_site_fract_y
_atom_site_fract_z
Nd1 Nd 0.1538 0.2500 0.1532
Th1 Th 0.3686 0.7500 0.8265
Ti1 Ti 0.0948 0.2500 0.5938
N1 N 0.1194 0.2500 0.8463
N2 N 0.1638 0.7500 0.5239
N3 N 0.3971 0.7500 0.1262
# - raw total energy (eV/atom) = -8.797
# - DOS(E_F) (states/eV/atom) = 0.53
# - ρ (g cm⁻³) = 7.31
# - E_form (uncorrected) (eV per atom) = -1.288

=====

What did the first record say?
# GGA-PBE NdThN, relaxed
data_NdThN
_chemical_formula_sum 'Nd16 Th16 N16'
_space_group_name_H-M_alt 'F d d d'
_space_group_IT_number 70
_cell_length_a 9.2362
_cell_length_b 9.6168
_cell_length_c 12.2771
_cell_angle_alpha 90.00
_cell_angle_beta 90.00
_cell_angle_gamma 90.00
loop_
_space_group_symop_operation_xyz
'x,y,z'
'-x,-y,-z'
'-x+1/4,-y+1/4,z'
'x+1/4,y+1/4,-z'
'x,-y+1/4,-z+1/4'
'-x,y+1/4,z+1/4'
'-x+1/4,y,-z+1/4'
'x+1/4,-y,z+1/4'
'x,y+1/2,z+1/2'
'-x,-y+1/2,-z+1/2'
'-x+1/4,-y+3/4,z+1/2'
'x+1/4,y+3/4,-z+1/2'
'x,-y+3/4,-z+3/4'
'-x,y+3/4,z+3/4'
'-x+1/4,y+1/2,-z+3/4'
'x+1/4,-y+1/2,z+3/4'
'x+1/2,y,z+1/2'
'-x+1/2,-y,-z+1/2'
'-x+3/4,-y+1/4,z+1/2'
'x+3/4,y+1/4,-z+1/2'
'x+1/2,-y+1/4,-z+3/4'
'-x+1/2,y+1/4,z+3/4'
'-x+3/4,y,-z+3/4'
'x+3/4,-y,z+3/4'
'x+1/2,y+1/2,z'
'-x+1/2,-y+1/2,-z'
'-x+3/4,-y+3/4,z'
'x+3/4,y+3/4,-z'
'x+1/2,-y+3/4,-z+1/4'
'-x+1/2,y+3/4,z+1/4'
'-x+3/4,y+1/2,-z+1/4'
'x+3/4,-y+1/2,z+1/4'
loop_
_atom_site_label
_atom_site_type_symbol
_atom_site_fract_x
_atom_site_fract_y
_atom_site_fract_z
Nd1 Nd 0.0000 0.0000 0.0000
Th1 Th 0.1250 0.1250 0.4885
N1 N 0.1250 0.3054 0.6250
# - raw total energy (eV/atom) = -7.399
# - DOS(E_F) (states/eV/atom) = 0.93
# - ρ (g cm⁻³) = 9.51
# - E_form (uncorrected) (eV per atom) = -0.561